Entry from the Alexandria database: a geometry-optimized Mg2Cu2Rh structure (GGA-PBE).

Cell: 4.2862 4.2862 6.7955 Å, 50.76 50.76 60.00°
Closest atoms and distances in Å follow each position.
Sites, in units of the cell vectors:
Mg: 0.2066 0.2066 0.1898  3 Rh 2.63, 4 Cu 2.70-2.85, 1 Mg 2.88
Rh: 0.0000 0.0000 0.0000  6 Mg 2.63, 2 Cu 2.68
Cu: 0.6158 0.6158 0.5764  3 Cu 2.57-2.58, 1 Rh 2.68, 4 Mg 2.70-2.85
Cu: 0.3842 0.3842 0.4236  3 Cu 2.57-2.58, 1 Rh 2.68, 4 Mg 2.70-2.85
Mg: 0.7934 0.7934 0.8102  3 Rh 2.63, 4 Cu 2.70-2.85, 1 Mg 2.88

Calculated values
The calculated density is 6.265 g/cm3. The value obtained for the spin magnetization is 0.0 μB/f.u. The value obtained for the excess energy over the best structure of this formula in the dataset is 0 meV/atom.